Crystalline RbAlCoS3 at its relaxed geometry. Source: OQMD via LeMat-Bulk, functional PBE.

```
data_RbAlCoS3
_chemical_formula_sum 'Rb2 Al2 Co2 S6'
_space_group_name_H-M_alt 'P 1'
_space_group_IT_number 1
_space_group_name_Hall 'P 1'
_cell_length_a 8.6716
_cell_length_b 3.5644
_cell_length_c 9.4394
_cell_angle_alpha 90.00
_cell_angle_beta 111.87
_cell_angle_gamma 90.00
loop_
_atom_site_label
_atom_site_type_symbol
_atom_site_fract_x
_atom_site_fract_y
_atom_site_fract_z
_atom_site_occupancy
Rb1 Rb 0.2108 0.2500 0.2414 1
Rb2 Rb 0.7892 0.7500 0.7586 1
Al1 Al 0.3431 0.7500 0.8844 1
Al2 Al 0.6569 0.2500 0.1156 1
Co1 Co 0.0750 0.2500 0.5940 1
Co2 Co 0.9250 0.7500 0.4060 1
S1 S 0.1464 0.2500 0.8559 1
S2 S 0.1917 0.7500 0.5438 1
S3 S 0.4825 0.7500 0.1505 1
S4 S 0.5175 0.2500 0.8495 1
S5 S 0.8083 0.2500 0.4562 1
S6 S 0.8536 0.7500 0.1441 1
```

## Properties
space-group type	P2_1/m (11)
M_tot	0.299	μB/atom
raw total energy	-29.31	eV/f.u.

Crystalline RbAlCoS3 at its relaxed geometry. Source: OQMD via LeMat-Bulk, functional PBE.

```
data_RbAlCoS3
_chemical_formula_sum 'Rb2 Al2 Co2 S6'
_space_group_name_H-M_alt 'P 1'
_space_group_IT_number 1
_space_group_name_Hall 'P 1'
_cell_length_a 7.7506
_cell_length_b 7.7506
_cell_length_c 9.4896
_cell_angle_alpha 90.00
_cell_angle_beta 90.00
_cell_angle_gamma 152.93
loop_
_atom_site_label
_atom_site_type_symbol
_atom_site_fract_x
_atom_site_fract_y
_atom_site_fract_z
_atom_site_occupancy
Rb1 Rb 0.2478 0.7522 0.7500 1
Rb2 Rb 0.7522 0.2478 0.2500 1
Al1 Al 0.0285 0.9715 0.2500 1
Al2 Al 0.9715 0.0285 0.7500 1
Co1 Co 0.5000 0.5000 0.0000 1
Co2 Co 0.5000 0.5000 0.5000 1
S1 S 0.1021 0.8979 0.0478 1
S2 S 0.1021 0.8979 0.4522 1
S3 S 0.4378 0.5622 0.2500 1
S4 S 0.5622 0.4378 0.7500 1
S5 S 0.8979 0.1021 0.5478 1
S6 S 0.8979 0.1021 0.9522 1
```

## Properties
space-group type	Cmcm (63)
M_tot	0.166	μB/atom
raw total energy	-28.93	eV/f.u.

Crystalline AlCoRe2 at its relaxed geometry. Source: OQMD via LeMat-Bulk, functional PBE.

```
data_AlCoRe2
_chemical_formula_sum 'Al1 Co1 Re2'
_space_group_name_H-M_alt 'P 1'
_space_group_IT_number 1
_space_group_name_Hall 'P 1'
_cell_length_a 4.2495
_cell_length_b 4.2495
_cell_length_c 4.2495
_cell_angle_alpha 60.00
_cell_angle_beta 60.00
_cell_angle_gamma 60.00
loop_
_atom_site_label
_atom_site_type_symbol
_atom_site_fract_x
_atom_site_fract_y
_atom_site_fract_z
_atom_site_occupancy
Al1 Al 0.0000 0.0000 0.0000 1
Co1 Co 0.2500 0.2500 0.2500 1
Re1 Re 0.5000 0.5000 0.5000 1
Re2 Re 0.7500 0.7500 0.7500 1
```

## Properties
space-group type	F-43m (216)
M_tot	0.009	μB/atom
raw total energy	-35.91	eV/f.u.

Crystalline AlCo2Re at its relaxed geometry. Source: OQMD via LeMat-Bulk, functional PBE.

```
data_AlCo2Re
_chemical_formula_sum 'Al1 Co2 Re1'
_space_group_name_H-M_alt 'P 1'
_space_group_IT_number 1
_space_group_name_Hall 'P 1'
_cell_length_a 4.0991
_cell_length_b 4.0991
_cell_length_c 4.0991
_cell_angle_alpha 60.00
_cell_angle_beta 60.00
_cell_angle_gamma 60.00
loop_
_atom_site_label
_atom_site_type_symbol
_atom_site_fract_x
_atom_site_fract_y
_atom_site_fract_z
_atom_site_occupancy
Al1 Al 0.0000 0.0000 0.0000 1
Co1 Co 0.5000 0.5000 0.5000 1
Co2 Co 0.7500 0.7500 0.7500 1
Re1 Re 0.2500 0.2500 0.2500 1
```

## Properties
space-group type	F-43m (216)
M_tot	0.003	μB/atom
raw total energy	-30.40	eV/f.u.

Crystalline Al2CoRe at its relaxed geometry. Source: OQMD via LeMat-Bulk, functional PBE.

```
data_Al2CoRe
_chemical_formula_sum 'Al2 Co1 Re1'
_space_group_name_H-M_alt 'P 1'
_space_group_IT_number 1
_space_group_name_Hall 'P 1'
_cell_length_a 4.2460
_cell_length_b 4.2460
_cell_length_c 4.2460
_cell_angle_alpha 60.00
_cell_angle_beta 60.00
_cell_angle_gamma 60.00
loop_
_atom_site_label
_atom_site_type_symbol
_atom_site_fract_x
_atom_site_fract_y
_atom_site_fract_z
_atom_site_occupancy
Al1 Al 0.0000 0.0000 0.0000 1
Al2 Al 0.2500 0.2500 0.2500 1
Co1 Co 0.7500 0.7500 0.7500 1
Re1 Re 0.5000 0.5000 0.5000 1
```

## Properties
space-group type	F-43m (216)
M_tot	0.410	μB/atom
raw total energy	-27.03	eV/f.u.

Crystalline ScAlCoRe at its relaxed geometry. Source: OQMD via LeMat-Bulk, functional PBE.

```
data_ScAlCoRe
_chemical_formula_sum 'Sc1 Al1 Co1 Re1'
_space_group_name_H-M_alt 'P 1'
_space_group_IT_number 1
_space_group_name_Hall 'P 1'
_cell_length_a 4.3498
_cell_length_b 4.3498
_cell_length_c 4.3498
_cell_angle_alpha 60.00
_cell_angle_beta 60.00
_cell_angle_gamma 60.00
loop_
_atom_site_label
_atom_site_type_symbol
_atom_site_fract_x
_atom_site_fract_y
_atom_site_fract_z
_atom_site_occupancy
Sc1 Sc 0.0000 0.0000 0.0000 1
Al1 Al 0.5000 0.5000 0.5000 1
Co1 Co 0.7500 0.7500 0.7500 1
Re1 Re 0.2500 0.2500 0.2500 1
```

## Properties
space-group type	F-43m (216)
M_tot	0.031	μB/atom
raw total energy	-29.95	eV/f.u.